No. 1
First-principles (PBE-GGA) data for a geometry-optimized LiZrPd structure, as listed in the Open Quantum Materials Database.

The structure in extended XYZ format:
```
6
Lattice="3.5456 0.0000 0.0000 0.0000 3.5456 0.0000 0.0000 0.0000 8.4536" Properties=species:S:1:pos:R:3 pbc="T T T"
Li 0.8864 2.6592 0.0000
Li 2.6592 0.8864 0.0000
Zr 0.8864 0.8864 3.2108
Zr 2.6592 2.6592 5.2428
Pd 0.8864 0.8864 6.4344
Pd 2.6592 2.6592 2.0193
```

Calculated values
V: 53.1 Å³/f.u.
symmetry: P4/nmm
electronic total energy: -5.6248 eV/atom
polymorph energy (0 for the lowest one): 0.000 eV/atom


No. 2
First-principles (PBE-GGA) data for a geometry-optimized ErCdAgHg structure, as listed in the Open Quantum Materials Database.

The structure in extended XYZ format:
```
16
Lattice="7.0432 0.0000 0.0000 0.0000 7.0432 0.0000 0.0000 0.0000 7.0432" Properties=species:S:1:pos:R:3 pbc="T T T"
Er 0.0000 0.0000 0.0000
Er 0.0000 3.5216 3.5216
Er 3.5216 0.0000 3.5216
Er 3.5216 3.5216 0.0000
Cd 0.0000 0.0000 3.5216
Cd 0.0000 3.5216 0.0000
Cd 3.5216 0.0000 0.0000
Cd 3.5216 3.5216 3.5216
Ag 1.7608 1.7608 1.7608
Ag 1.7608 5.2824 5.2824
Ag 5.2824 1.7608 5.2824
Ag 5.2824 5.2824 1.7608
Hg 1.7608 1.7608 5.2824
Hg 1.7608 5.2824 1.7608
Hg 5.2824 1.7608 1.7608
Hg 5.2824 5.2824 5.2824
```

Calculated values
V: 87.3 Å³/f.u.
symmetry: F-43m
calculated formation energy: -130 kJ/mol of formula units
electronic total energy: -2.4814 eV/atom


No. 3
First-principles (PBE-GGA) data for a geometry-optimized Er2S structure, as listed in the Open Quantum Materials Database.

The structure in extended XYZ format:
```
6
Lattice="0.0000 5.9305 5.9305 5.9305 0.0000 5.9305 5.9305 5.9305 0.0000" Properties=species:S:1:pos:R:3 pbc="T T T"
Er 0.0000 0.0000 0.0000
Er 2.9653 2.9653 0.0000
Er 2.9653 0.0000 2.9653
Er 0.0000 2.9653 2.9653
S 1.4826 1.4826 1.4826
S 10.3784 10.3784 10.3784
```

Calculated values
V: 208.6 Å³/f.u.
symmetry: Fd-3m
electronic total energy: -4.1482 eV/atom


No. 4
First-principles (PBE-GGA) data for a geometry-optimized PrTm2PbC structure, as listed in the Open Quantum Materials Database.

The structure in extended XYZ format:
```
5
Lattice="4.8541 0.0000 0.0000 0.0000 4.8541 0.0000 0.0000 0.0000 5.1789" Properties=species:S:1:pos:R:3 pbc="T T T"
Pr 0.0000 0.0000 0.0000
Tm 0.0000 2.4270 2.5895
Tm 2.4270 0.0000 2.5895
Pb 2.4270 2.4270 0.0000
C 0.0000 0.0000 2.5895
```

Calculated values
V: 122.0 Å³/f.u.
symmetry: P4/mmm
electronic total energy: -5.8076 eV/atom